[1]
Computed, not measured: a relaxed structure of Ca2BiRh2 at the PBE level of DFT.

## Properties
size of the total moment	0.00	μB/cell
DFT total energy	-50.73	eV per cell
E above lowest polymorph	0	meV/atom

Unit cell a=5.8483 b=5.8483 c=8.1836 alpha=102.02 beta=102.02 gamma=58.63
Sites, in units of the cell vectors:
Ca 0.0015 0.7019 0.8509
Ca 0.2981 0.9985 0.6491
Ca 0.7019 0.0015 0.3509
Ca 0.9985 0.2981 0.1491
Bi 0.3565 0.6435 0.2500
Bi 0.6435 0.3565 0.7500
Rh 0.2212 0.5030 0.4997
Rh 0.4970 0.7788 0.0003
Rh 0.5030 0.2212 0.9997
Rh 0.7788 0.4970 0.5003


[2]
Computed, not measured: a relaxed structure of LiCd3In6 at the PBE level of DFT.

## Properties
size of the total moment	0.00	μB/cell
DFT total energy	-42.47	eV per cell

Unit cell a=9.5219 b=4.8545 c=11.4536 alpha=90.00 beta=105.35 gamma=90.00
Sites, in units of the cell vectors:
Li 0.1025 0.2500 0.3293
Li 0.8975 0.7500 0.6707
Cd 0.1864 0.2500 0.0999
Cd 0.2277 0.7500 0.6925
Cd 0.3582 0.2500 0.5769
Cd 0.6418 0.7500 0.4231
Cd 0.7723 0.2500 0.3075
Cd 0.8136 0.7500 0.9001
In 0.0154 0.7500 0.1557
In 0.0385 0.2500 0.5876
In 0.2221 0.7500 0.9506
In 0.3034 0.7500 0.4015
In 0.4357 0.2500 0.8794
In 0.4470 0.2500 0.2995
In 0.5530 0.7500 0.7005
In 0.5643 0.7500 0.1206
In 0.6966 0.2500 0.5985
In 0.7779 0.2500 0.0494
In 0.9615 0.7500 0.4124
In 0.9846 0.2500 0.8443


[3]
Computed, not measured: a relaxed structure of Dy4Al3Cu at the PBE level of DFT.

## Properties
size of the total moment	0.00	μB/cell
DFT total energy	-36.39	eV per cell
E above lowest polymorph	24	meV/atom

Unit cell a=3.6731 b=4.4775 c=11.5135 alpha=90.00 beta=90.00 gamma=90.00
Sites, in units of the cell vectors:
Dy 0.0000 0.0000 0.0000
Dy 0.0000 0.5000 0.2912
Dy 0.5000 0.0000 0.4808
Dy 0.5000 0.5000 0.8006
Al 0.0000 0.0000 0.7089
Al 0.0000 0.5000 0.5744
Al 0.5000 0.5000 0.0779
Cu 0.5000 0.0000 0.2089


[4]
Computed, not measured: a relaxed structure of TePtPb2 at the PBE level of DFT.

## Properties
size of the total moment	0.00	μB/cell
DFT total energy	-17.08	eV per cell

Unit cell a=8.4692 b=8.4692 c=8.4692 alpha=27.28 beta=27.28 gamma=27.28
Sites, in units of the cell vectors:
Te 0.0000 0.0000 0.0000
Pt 0.2757 0.2757 0.2757
Pb 0.5414 0.5414 0.5414
Pb 0.7680 0.7680 0.7680